w.
{"formula": "ErAg2Hg2", "functional": "PBE", "state": "relaxed", "spacegroup": "C2/c (15)", "lattice": [[-3.1317, 4.4120, 0.1114], [-6.6791, -4.7090, -1.2659], [5.9689, 0.7756, 5.6397]], "species": ["Er", "Er", "Ag", "Ag", "Ag", "Ag", "Hg", "Hg", "Hg", "Hg"], "fractional_positions": [[0.3102, 0.7500, 0.0000], [0.6898, 0.2500, 0.0000], [0.2893, 0.2578, 0.2122], [0.0771, 0.2422, 0.7878], [0.7107, 0.7422, 0.7878], [0.9229, 0.7578, 0.2122], [0.8825, 0.2243, 0.3744], [0.4919, 0.7243, 0.3744], [0.1175, 0.7757, 0.6256], [0.5081, 0.2757, 0.6256]]}

x.
{"formula": "ErAg2Hg2", "functional": "PBE", "state": "relaxed", "spacegroup": "P2_1/m (11)", "lattice": [[-2.7482, 1.1491, -4.1917], [-4.4648, -0.1915, 2.8743], [-1.5791, 7.5087, 3.0937]], "species": ["Er", "Er", "Ag", "Ag", "Ag", "Ag", "Hg", "Hg", "Hg", "Hg"], "fractional_positions": [[0.7500, 0.0902, 0.7012], [0.2500, 0.9098, 0.2988], [0.7500, 0.4815, 0.9092], [0.2500, 0.7116, 0.7048], [0.2500, 0.5185, 0.0908], [0.7500, 0.2884, 0.2952], [0.2500, 0.3078, 0.4903], [0.7500, 0.8723, 0.1007], [0.2500, 0.1277, 0.8993], [0.7500, 0.6922, 0.5097]]}

The least stable of them is w.

w.
{"formula": "Er2Ag3Hg", "functional": "PBE", "state": "relaxed", "spacegroup": "Fmmm (69)", "lattice": [[5.7664, -0.9601, 0.0000], [-1.1833, 5.7247, 0.0000], [-2.2915, -2.3823, 8.3565]], "species": ["Er", "Er", "Er", "Er", "Ag", "Ag", "Ag", "Ag", "Ag", "Ag", "Hg", "Hg"], "fractional_positions": [[0.2500, 0.7500, 0.5000], [0.7518, 0.7518, 0.0000], [0.7500, 0.2500, 0.5000], [0.2482, 0.2482, 0.0000], [0.3304, 0.8346, 0.1650], [0.1654, 0.6696, 0.8350], [0.6696, 0.1654, 0.8350], [0.8346, 0.3304, 0.1650], [0.1648, 0.1648, 0.3297], [0.8352, 0.8352, 0.6703], [0.6666, 0.6666, 0.3333], [0.3334, 0.3334, 0.6667]]}

x.
{"formula": "Er2Ag3Hg", "functional": "PBE", "state": "relaxed", "spacegroup": "Imm2 (44)", "lattice": [[3.8134, 0.0000, -1.0151], [-0.2796, 3.6961, -1.0504], [0.5565, 0.8084, 9.7615]], "species": ["Er", "Er", "Ag", "Ag", "Ag", "Hg"], "fractional_positions": [[0.1295, 0.1295, 0.2589], [0.8671, 0.3671, 0.7342], [0.7007, 0.7007, 0.4013], [0.5547, 0.5547, 0.1095], [0.2978, 0.7978, 0.5955], [0.4503, 0.9503, 0.9005]]}

The least stable of them is x.

w.
{"formula": "ErAg3Hg3", "functional": "PBE", "state": "relaxed", "spacegroup": "Pm-3n (223)", "lattice": [[-1.5675, -3.6120, 6.4878], [7.2546, -2.1596, 0.5504], [1.5842, 6.3154, 3.8988]], "species": ["Hg", "Hg", "Hg", "Hg", "Hg", "Hg", "Ag", "Ag", "Ag", "Ag", "Ag", "Ag", "Er", "Er"], "fractional_positions": [[0.2500, 0.0000, 0.5000], [0.0000, 0.5000, 0.2500], [0.5000, 0.7500, 0.0000], [0.7500, 0.0000, 0.5000], [0.0000, 0.5000, 0.7500], [0.5000, 0.2500, 0.0000], [0.0000, 0.2500, 0.5000], [0.0000, 0.7500, 0.5000], [0.5000, 0.0000, 0.7500], [0.7500, 0.5000, 0.0000], [0.5000, 0.0000, 0.2500], [0.2500, 0.5000, 0.0000], [0.5000, 0.5000, 0.5000], [0.0000, 0.0000, 0.0000]]}

x.
{"formula": "ErAg3Hg3", "functional": "PBE", "state": "relaxed", "spacegroup": "R-3 (148)", "lattice": [[7.2510, 0.0000, 0.0000], [3.6255, 6.2796, 0.0000], [3.6255, 2.0932, 6.9373]], "species": ["Er", "Er", "Ag", "Ag", "Ag", "Ag", "Ag", "Ag", "Hg", "Hg", "Hg", "Hg", "Hg", "Hg"], "fractional_positions": [[0.3289, 0.3289, 0.0133], [0.6711, 0.6711, 0.9867], [0.5776, 0.7506, 0.6111], [0.7506, 0.0606, 0.6111], [0.0606, 0.5776, 0.6111], [0.9394, 0.4224, 0.3889], [0.2494, 0.9394, 0.3889], [0.4224, 0.2494, 0.3889], [0.1980, 0.7068, 0.1896], [0.9057, 0.1980, 0.1896], [0.7068, 0.9057, 0.1896], [0.2932, 0.0943, 0.8104], [0.0943, 0.8020, 0.8104], [0.8020, 0.2932, 0.8104]]}

The least stable of them is w.

w.
{"formula": "ErAgHg4", "functional": "PBE", "state": "relaxed", "spacegroup": "C2/m (12)", "lattice": [[-2.5842, -1.9407, 2.0085], [4.5424, -2.1179, 0.1937], [-1.1384, 7.4466, 5.7304]], "species": ["Er", "Ag", "Hg", "Hg", "Hg", "Hg"], "fractional_positions": [[0.0000, 0.5000, 0.5000], [0.5000, 0.5000, 0.0000], [0.7883, 0.0766, 0.6864], [0.2117, 0.9234, 0.3136], [0.8561, 0.2123, 0.1392], [0.1439, 0.7877, 0.8608]]}

x.
{"formula": "ErAgHg4", "functional": "PBE", "state": "relaxed", "spacegroup": "C2/m (12)", "lattice": [[7.4167, 1.5189, 0.0000], [1.9308, 4.7442, 0.0000], [0.0000, 0.0000, 8.5483]], "species": ["Er", "Er", "Ag", "Ag", "Hg", "Hg", "Hg", "Hg", "Hg", "Hg", "Hg", "Hg"], "fractional_positions": [[0.0000, 0.2500, 0.7500], [0.0000, 0.7500, 0.2500], [0.5000, 0.2500, 0.2500], [0.5000, 0.7500, 0.7500], [0.2528, 0.5359, 0.9201], [0.2528, 0.5359, 0.5799], [0.7472, 0.9641, 0.9201], [0.7472, 0.4641, 0.4201], [0.7472, 0.9641, 0.5799], [0.2528, 0.0359, 0.0799], [0.2528, 0.0359, 0.4201], [0.7472, 0.4641, 0.0799]]}

The least stable of them is w.

w.
{"formula": "Er2AgHg4", "functional": "PBE", "state": "relaxed", "spacegroup": "R-3m (166)", "lattice": [[4.9389, 0.0000, 1.5430], [2.2284, 4.4076, 1.5430], [0.2709, 0.1666, 7.8086]], "species": ["Hg", "Hg", "Hg", "Hg", "Ag", "Er", "Er"], "fractional_positions": [[0.8673, 0.8673, 0.3981], [0.1327, 0.1327, 0.6019], [0.5831, 0.5831, 0.2506], [0.4169, 0.4169, 0.7494], [0.0000, 0.0000, 0.0000], [0.7257, 0.7257, 0.8228], [0.2743, 0.2743, 0.1772]]}

x.
{"formula": "Er2AgHg4", "functional": "PBE", "state": "relaxed", "spacegroup": "I4/mmm (139)", "lattice": [[-4.9519, -1.8087, 0.4162], [0.8783, -3.3283, -4.0146], [4.3585, -2.6713, 6.6511]], "species": ["Er", "Er", "Ag", "Hg", "Hg", "Hg", "Hg"], "fractional_positions": [[0.6124, 0.6124, 0.2247], [0.3876, 0.3876, 0.7753], [0.0000, 0.0000, 0.0000], [0.8096, 0.8096, 0.6192], [0.1904, 0.1904, 0.3808], [0.0000, 0.5000, 0.0000], [0.5000, 0.0000, 0.0000]]}

The least stable of them is x.

w.
{"formula": "ErAgHgPb", "functional": "PBE", "state": "relaxed", "spacegroup": "F-43m (216)", "lattice": [[-3.6983, -0.0518, 3.5684], [3.5523, -0.5461, 3.6737], [0.3151, 3.9149, -3.3177]], "species": ["Er", "Ag", "Hg", "Pb"], "fractional_positions": [[0.5000, 0.5000, 0.0000], [0.0000, 0.0000, 0.0000], [0.7500, 0.2500, 0.5000], [0.2500, 0.7500, 0.5000]]}

x.
{"formula": "ErAgHgPb", "functional": "PBE", "state": "relaxed", "spacegroup": "F-43m (216)", "lattice": [[-2.5149, 2.0141, 4.0277], [1.9511, -0.4625, 4.7522], [1.9021, 4.1382, 2.4210]], "species": ["Pb", "Hg", "Ag", "Er"], "fractional_positions": [[0.5000, 0.5000, 0.5000], [0.7500, 0.7500, 0.7500], [0.2500, 0.2500, 0.2500], [0.0000, 0.0000, 0.0000]]}

The least stable of them is x.